Entry 1:
Below is ZnAuSe after structural relaxation, with properties calculated at the GGA-PBE level.

Total moment in μB/cell: 0.0
Energy in Ry/atom: -0.2027

Unit cell a=3.9393 b=4.2534 c=4.5948 alpha=96.40 beta=100.84 gamma=117.23
Fractional positions:
Zn 0.0000 0.0000 0.0000
Au 0.8397 0.4965 0.2899
Se 0.4634 0.0771 0.6790

Entry 2:
Below is Mg2FeOs after structural relaxation, with properties calculated at the GGA-PBE level.

Total moment in μB/cell: 3.2
Energy in Ry/atom: -0.3897

Unit cell a=4.4319 b=4.4319 c=4.4319 alpha=60.00 beta=60.00 gamma=60.00
Fractional positions:
Mg 0.2500 0.2500 0.2500
Mg 0.7500 0.7500 0.7500
Fe 0.0000 0.0000 0.0000
Os 0.5000 0.5000 0.5000

Entry 3:
Below is La2PaIrO8 after structural relaxation, with properties calculated at the GGA-PBE level.

Total moment in μB/cell: 2.0
Energy in Ry/atom: -0.6064

Unit cell a=4.3296 b=7.2867 c=5.4964 alpha=90.00 beta=96.55 gamma=90.00
Fractional positions:
La 0.0000 0.2408 0.0000
La 0.0000 0.7592 0.0000
Pa 0.5000 0.5000 0.5000
Ir 0.5000 0.0000 0.5000
O 0.0760 0.5000 0.2634
O 0.1213 0.0000 0.2905
O 0.4278 0.2359 0.7177
O 0.4278 0.7641 0.7177
O 0.5722 0.2359 0.2823
O 0.5722 0.7641 0.2823
O 0.8787 0.0000 0.7095
O 0.9240 0.5000 0.7366

Entry 4:
Below is Gd2ZnSn after structural relaxation, with properties calculated at the GGA-PBE level.

Total moment in μB/cell: 14.7
Energy in Ry/atom: -0.6534

Unit cell a=4.9738 b=4.9738 c=4.1320 alpha=90.00 beta=90.00 gamma=90.00
Fractional positions:
Gd 0.0000 0.5000 0.0000
Gd 0.5000 0.0000 0.0000
Zn 0.0000 0.0000 0.5000
Sn 0.5000 0.5000 0.5000

Entry 5:
Below is HfCuAs2Se after structural relaxation, with properties calculated at the GGA-PBE level.

Total moment in μB/cell: 0.0
Energy in Ry/atom: -0.3661

Unit cell a=5.1555 b=5.1555 c=5.1003 alpha=90.00 beta=90.00 gamma=90.00
Fractional positions:
Hf 0.0000 0.0000 0.0000
Cu 0.5000 0.5000 0.5000
As 0.0000 0.5000 0.0000
As 0.5000 0.0000 0.0000
Se 0.0000 0.0000 0.5000

Entry 6:
Below is CsTlIn3 after structural relaxation, with properties calculated at the GGA-PBE level.

Total moment in μB/cell: 0.0
Energy in Ry/atom: -0.1640

Unit cell a=7.7607 b=7.7607 c=6.9759 alpha=90.00 beta=90.00 gamma=120.00
Fractional positions:
Cs 0.3333 0.6667 0.2500
Cs 0.6667 0.3333 0.7500
Tl 0.0000 0.0000 0.0000
Tl 0.0000 0.0000 0.5000
In 0.1944 0.3888 0.7500
In 0.1944 0.8056 0.7500
In 0.3888 0.1944 0.2500
In 0.6112 0.8056 0.7500
In 0.8056 0.1944 0.2500
In 0.8056 0.6112 0.2500

Entry 7:
Below is Zr2ZnPt after structural relaxation, with properties calculated at the GGA-PBE level.

Total moment in μB/cell: 0.0
Energy in Ry/atom: -0.4903

Unit cell a=3.3889 b=3.3889 c=6.6021 alpha=90.00 beta=90.00 gamma=90.00
Fractional positions:
Zr 0.0000 0.0000 0.0000
Zr 0.5000 0.5000 0.3067
Zn 0.5000 0.5000 0.7497
Pt 0.0000 0.0000 0.5388

Entry 8:
Below is NaTe2H after structural relaxation, with properties calculated at the GGA-PBE level.

Total moment in μB/cell: 0.0
Energy in Ry/atom: -0.1994

Unit cell a=8.7988 b=8.7988 c=8.7988 alpha=24.35 beta=24.35 gamma=24.35
Fractional positions:
Na 0.0000 0.0000 0.0000
Te 0.4237 0.4237 0.4237
Te 0.5763 0.5763 0.5763
H 0.5000 0.5000 0.5000